(1)
Compound: TlAg2H
Source: the Alexandria database
Functional: GGA-PBE
Structure: optimized geometry

Lattice parameters (Å, degrees): 4.7056 4.7056 4.7056 60.00 60.00 60.00
With the nearest neighbours (Å) after each atom.
Sites, in units of the cell vectors:
H 0.0000 0.0000 0.0000  8 Ag 2.88
Tl 0.5000 0.5000 0.5000  8 Ag 2.88
Ag 0.2500 0.2500 0.2500  4 Tl 2.88, 4 H 2.88
Ag 0.7500 0.7500 0.7500  4 H 2.88, 4 Tl 2.88

***

(2)
Compound: TlAg2H2
Source: the Alexandria database
Functional: GGA-PBE
Structure: optimized geometry

Lattice parameters (Å, degrees): 7.2560 7.2560 2.9038 90.00 90.00 90.00
With the nearest neighbours (Å) after each atom.
Sites, in units of the cell vectors:
H 0.3907 0.8907 0.0000  1 H 2.24, 4 Ag 2.28
H 0.8907 0.6093 0.0000  1 H 2.24, 4 Ag 2.28
H 0.6093 0.1093 0.0000  1 H 2.24, 4 Ag 2.28
H 0.1093 0.3907 0.0000  1 H 2.24, 4 Ag 2.28
Tl 0.0000 0.0000 0.0000  2 Tl 2.90, 4 H 2.94, 8 Ag 3.19
Tl 0.5000 0.5000 0.0000  2 Tl 2.90, 4 H 2.94, 8 Ag 3.19
Ag 0.1321 0.6321 0.5000  4 H 2.28
Ag 0.6321 0.8679 0.5000  4 H 2.28
Ag 0.8679 0.3679 0.5000  4 H 2.28
Ag 0.3679 0.1321 0.5000  4 H 2.28

***

(3)
Compound: TlAg2H
Source: the Alexandria database
Functional: GGA-PBE
Structure: optimized geometry

Lattice parameters (Å, degrees): 5.7885 5.7885 5.9884 61.10 61.10 90.00
With the nearest neighbours (Å) after each atom.
Sites, in units of the cell vectors:
H 0.5000 0.5000 0.0000  4 Ag 1.87
H 0.2500 0.7500 0.5000  4 Ag 1.87
Tl 0.0000 0.0000 0.0000  4 Ag 3.03
Tl 0.7500 0.2500 0.5000  4 Ag 3.03
Ag 0.4560 0.1250 0.2500  2 H 1.87
Ag 0.2940 0.6250 0.2500  2 H 1.87
Ag 0.3750 0.5440 0.7500  2 H 1.87
Ag 0.8750 0.7060 0.7500  2 H 1.87

***

(4)
Compound: TlAg2H2
Source: the Alexandria database
Functional: GGA-PBE
Structure: optimized geometry

Lattice parameters (Å, degrees): 3.7163 3.7163 6.2269 72.64 72.64 90.00
With the nearest neighbours (Å) after each atom.
Sites, in units of the cell vectors:
H 0.7500 0.2500 0.5000  4 Ag 1.99
H 0.2500 0.7500 0.5000  4 Ag 1.99
Tl 0.0000 0.0000 0.0000  10 Ag 3.36-3.54, 8 H 3.38, 4 Tl 3.72
Ag 0.3139 0.3139 0.3721  4 H 1.99
Ag 0.6861 0.6861 0.6279  4 H 1.99

***

(5)
Compound: TlAgH3
Source: the Alexandria database
Functional: GGA-PBE
Structure: optimized geometry

Lattice parameters (Å, degrees): 3.9542 3.9542 3.9542 90.00 90.00 90.00
With the nearest neighbours (Å) after each atom.
Sites, in units of the cell vectors:
H 0.0000 0.5000 0.0000  2 Ag 1.98
H 0.0000 0.0000 0.5000  2 Ag 1.98
H 0.5000 0.0000 0.0000  2 Ag 1.98
Tl 0.5000 0.5000 0.5000  12 H 2.80
Ag 0.0000 0.0000 0.0000  6 H 1.98

***

(6)
Compound: TlAgH2
Source: the Alexandria database
Functional: GGA-PBE
Structure: optimized geometry

Lattice parameters (Å, degrees): 5.6669 5.6669 5.6333 59.80 59.80 90.00
With the nearest neighbours (Å) after each atom.
Sites, in units of the cell vectors:
H 0.4865 0.1250 0.2500  2 Ag 1.84
H 0.2635 0.6250 0.2500  2 Ag 1.84
H 0.3750 0.5135 0.7500  2 Ag 1.84
H 0.8750 0.7365 0.7500  2 Ag 1.84
Tl 0.0000 0.0000 0.0000  4 H 2.80
Tl 0.7500 0.2500 0.5000  4 H 2.80
Ag 0.5000 0.5000 0.0000  4 H 1.84
Ag 0.2500 0.7500 0.5000  4 H 1.84

***

(7)
Compound: Tl2AgH2
Source: the Alexandria database
Functional: GGA-PBE
Structure: optimized geometry

Lattice parameters (Å, degrees): 6.0355 6.0355 5.0813 90.00 90.00 90.00
With the nearest neighbours (Å) after each atom.
Sites, in units of the cell vectors:
H 0.2522 0.7522 0.0000  2 Ag 2.13
H 0.7522 0.7478 0.0000  2 Ag 2.13
H 0.7478 0.2478 0.0000  2 Ag 2.13
H 0.2478 0.2522 0.0000  2 Ag 2.13
Tl 0.1911 0.6911 0.5000  2 H 2.59
Tl 0.6911 0.8089 0.5000  2 H 2.59
Tl 0.8089 0.3089 0.5000  2 H 2.59
Tl 0.3089 0.1911 0.5000  2 H 2.59
Ag 0.0000 0.0000 0.0000  4 H 2.13
Ag 0.5000 0.5000 0.0000  4 H 2.13

***

(8)
Compound: Tl2Ag2H
Source: the Alexandria database
Functional: GGA-PBE
Structure: optimized geometry

Lattice parameters (Å, degrees): 5.9864 5.9864 5.2831 55.49 55.49 90.00
With the nearest neighbours (Å) after each atom.
Sites, in units of the cell vectors:
H 0.0000 0.0000 0.0000  2 Ag 1.81
Tl 0.7500 0.2500 0.5000  4 Ag 3.00, 2 Tl 3.16
Tl 0.2500 0.7500 0.5000  4 Ag 3.00, 2 Tl 3.16
Ag 0.2859 0.2859 0.4282  1 H 1.81
Ag 0.7141 0.7141 0.5718  1 H 1.81

***

V values, unit Å³ per atom, following the record order: 18.42 15.29 18.31 15.59 12.37 15.89 18.51 22.66.
Energy above the most stable polymorph in this dataset values, unit kJ per mole of atoms, following the record order: 39.5 27.8 0.0 0.0 0.0 0.0 23.7 0.0.